Entry 1:
Material: TmThBe
Method: DFT, GGA-PBE
State: optimized geometry

a = 7.1475 Å, b = 5.8338 Å, c = 5.7104 Å
α = 76.50°, β = 52.53°, γ = 50.97°
Last column: nearest neighbours and their distance in Å.
Element x y z (fractional)
Tm1 0.1615 0.1615 0.8385  4 Be 3.00, 3 Tm 3.31-3.33
Tm2 0.8385 0.8385 0.1615  4 Be 3.00, 3 Tm 3.31-3.33
Th1 0.3347 0.6653 0.3347  4 Be 3.04, 3 Th 3.26-3.29
Th2 0.6653 0.3347 0.6653  4 Be 3.04, 3 Th 3.26-3.29
Be1 0.2500 0.2500 0.2500  2 Be 2.79, 4 Tm 3.00, 4 Th 3.04
Be2 0.7500 0.7500 0.7500  2 Be 2.79, 4 Tm 3.00, 4 Th 3.04

Calculated values
**E_form**: 13 kJ/mol of atoms
**Energy**: -5.073 eV/atom
**Crystal system**: orthorhombic



Entry 2:
Material: ThBe17W
Method: DFT, GGA-PBE
State: optimized geometry

a = 5.7306 Å, b = 5.7306 Å, c = 5.7306 Å
α = 82.90°, β = 82.90°, γ = 82.90°
Last column: nearest neighbours and their distance in Å.
Element x y z (fractional)
Th1 0.0000 0.0000 0.0000  19 Be 2.77-2.96
Be1 0.0525 0.3476 0.6216  6 Be 2.08-2.30
Be2 0.0525 0.6216 0.3476  6 Be 2.08-2.30
Be3 0.1857 0.6762 0.6762  7 Be 2.15-2.28
Be4 0.2519 0.2519 0.2519  1 Be 2.12
Be5 0.3450 0.3450 0.8380  10 Be 2.13-2.37
Be6 0.3450 0.8380 0.3450  10 Be 2.13-2.37
Be7 0.3476 0.0525 0.6216  6 Be 2.08-2.30
Be8 0.3476 0.6216 0.0525  6 Be 2.08-2.30
Be9 0.4428 0.4428 0.4428  7 Be 2.12-2.28
Be10 0.5024 0.9923 0.9923  9 Be 2.20-2.45
Be11 0.6216 0.0525 0.3476  6 Be 2.08-2.30
Be12 0.6216 0.3476 0.0525  6 Be 2.08-2.30
Be13 0.6762 0.1857 0.6762  7 Be 2.15-2.28
Be14 0.6762 0.6762 0.1857  7 Be 2.15-2.28
Be15 0.8380 0.3450 0.3450  10 Be 2.13-2.37
Be16 0.9923 0.5024 0.9923  9 Be 2.20-2.45
Be17 0.9923 0.9923 0.5024  9 Be 2.20-2.45
W1 0.6774 0.6774 0.6774  19 Be 2.60-2.91

Calculated values
**E_form**: -2 kJ/mol of atoms
**Energy**: -4.431 eV/atom
**Crystal system**: trigonal



Entry 3:
Material: Y2ThBe
Method: DFT, GGA-PBE
State: optimized geometry

a = 3.4768 Å, b = 3.4768 Å, c = 8.5885 Å
α = 90.00°, β = 90.00°, γ = 90.00°
Last column: nearest neighbours and their distance in Å.
Element x y z (fractional)
Y1 0.0000 0.0000 0.1957  4 Be 2.98
Y2 0.0000 0.0000 0.8043  4 Be 2.98
Th1 0.5000 0.5000 0.5000  4 Th 3.48, 8 Y 3.59
Be1 0.5000 0.5000 0.0000  8 Y 2.98

Calculated values
**E_form**: 7 kJ/mol of atoms
**Energy**: -5.942 eV/atom
**Crystal system**: tetragonal



Entry 4:
Material: Th2BeZn
Method: DFT, GGA-PBE
State: optimized geometry

a = 11.1485 Å, b = 11.1485 Å, c = 11.1485 Å
α = 17.13°, β = 17.13°, γ = 17.13°
Last column: nearest neighbours and their distance in Å.
Element x y z (fractional)
Th1 0.0903 0.0903 0.0903  1 Be 2.97, 3 Zn 3.16, 6 Th 3.32
Th2 0.9097 0.9097 0.9097  1 Be 2.97, 3 Zn 3.16, 6 Th 3.32
Be1 0.0000 0.0000 0.0000  2 Th 2.97, 6 Be 3.32
Zn1 0.5000 0.5000 0.5000  6 Th 3.16, 6 Zn 3.32

Calculated values
**E_form**: 68 kJ/mol of atoms
**Energy**: -4.260 eV/atom
**Crystal system**: trigonal



Entry 5:
Material: Th2BeZn
Method: DFT, GGA-PBE
State: optimized geometry

a = 5.0879 Å, b = 5.0879 Å, c = 5.0879 Å
α = 60.00°, β = 60.00°, γ = 60.00°
Last column: nearest neighbours and their distance in Å.
Element x y z (fractional)
Th1 0.2500 0.2500 0.2500  4 Be 3.12, 4 Zn 3.12
Th2 0.7500 0.7500 0.7500  4 Be 3.12, 4 Zn 3.12
Be1 0.0000 0.0000 0.0000  8 Th 3.12
Zn1 0.5000 0.5000 0.5000  8 Th 3.12

Calculated values
**E_form**: 4 kJ/mol of atoms
**Energy**: -4.916 eV/atom
**Crystal system**: cubic



Entry 6:
Material: ThBeZn11
Method: DFT, GGA-PBE
State: optimized geometry

a = 6.7732 Å, b = 6.7732 Å, c = 6.7633 Å
α = 98.25°, β = 98.25°, γ = 135.15°
Last column: nearest neighbours and their distance in Å.
Element x y z (fractional)
Th1 0.0000 0.0000 0.0000  18 Zn 3.14-3.39, 2 Be 3.40
Be1 0.5000 0.5000 0.5000  10 Zn 2.51-2.66
Zn1 0.0000 0.0000 0.5000  8 Zn 2.56-2.71, 2 Be 2.58
Zn2 0.0000 0.5000 0.0000  10 Zn 2.58-2.80
Zn3 0.0163 0.3653 0.3598  7 Zn 2.58-2.84, 1 Be 2.66
Zn4 0.2857 0.5027 0.7730  1 Be 2.51, 6 Zn 2.56-2.75
Zn5 0.3653 0.0163 0.3598  7 Zn 2.58-2.84, 1 Be 2.66
Zn6 0.4973 0.7143 0.2270  1 Be 2.51, 6 Zn 2.56-2.75
Zn7 0.5000 0.0000 0.0000  10 Zn 2.58-2.80
Zn8 0.5027 0.2857 0.7730  1 Be 2.51, 6 Zn 2.56-2.75
Zn9 0.6347 0.9837 0.6402  7 Zn 2.58-2.84, 1 Be 2.66
Zn10 0.7143 0.4973 0.2270  1 Be 2.51, 6 Zn 2.56-2.75
Zn11 0.9837 0.6347 0.6402  7 Zn 2.58-2.84, 1 Be 2.66

Calculated values
**E_form**: -13 kJ/mol of atoms
**Energy**: -2.067 eV/atom
**Crystal system**: monoclinic



Entry 7:
Material: Th2BeZn
Method: DFT, GGA-PBE
State: optimized geometry

a = 3.5714 Å, b = 3.5714 Å, c = 7.2406 Å
α = 90.00°, β = 90.00°, γ = 90.00°
Last column: nearest neighbours and their distance in Å.
Element x y z (fractional)
Th1 0.0000 0.0000 0.2375  4 Be 3.06, 4 Zn 3.16
Th2 0.0000 0.0000 0.7625  4 Be 3.06, 4 Zn 3.16
Be1 0.5000 0.5000 0.0000  8 Th 3.06
Zn1 0.5000 0.5000 0.5000  8 Th 3.16

Calculated values
**E_form**: 2 kJ/mol of atoms
**Energy**: -4.938 eV/atom
**Crystal system**: tetragonal



Entry 8:
Material: ThZrBe4
Method: DFT, GGA-PBE
State: optimized geometry

a = 5.0003 Å, b = 5.0003 Å, c = 5.0003 Å
α = 60.00°, β = 60.00°, γ = 60.00°
Last column: nearest neighbours and their distance in Å.
Element x y z (fractional)
Th1 0.0000 0.0000 0.0000  12 Be 2.94, 4 Zr 3.06
Zr1 0.7500 0.7500 0.7500  12 Be 2.92, 4 Th 3.06
Be1 0.3793 0.3793 0.3793  6 Be 2.42-2.59
Be2 0.3793 0.3793 0.8622  6 Be 2.42-2.59
Be3 0.3793 0.8622 0.3793  6 Be 2.42-2.59
Be4 0.8622 0.3793 0.3793  6 Be 2.42-2.59

Calculated values
**E_form**: 7 kJ/mol of atoms
**Energy**: -5.078 eV/atom
**Crystal system**: cubic



Entry 9:
Material: ThZrBe17
Method: DFT, GGA-PBE
State: optimized geometry

a = 5.8331 Å, b = 5.8331 Å, c = 5.8331 Å
α = 82.80°, β = 82.80°, γ = 82.80°
Last column: nearest neighbours and their distance in Å.
Element x y z (fractional)
Th1 0.0000 0.0000 0.0000  19 Be 2.81-3.00
Zr1 0.6752 0.6752 0.6752  19 Be 2.70-2.96
Be1 0.0600 0.3422 0.6154  6 Be 2.11-2.28
Be2 0.0600 0.6154 0.3422  6 Be 2.11-2.28
Be3 0.1833 0.6736 0.6736  7 Be 2.19-2.34
Be4 0.2483 0.2483 0.2483  7 Be 2.12-2.38
Be5 0.3422 0.0600 0.6154  6 Be 2.11-2.28
Be6 0.3422 0.6154 0.0600  6 Be 2.11-2.28
Be7 0.3439 0.3439 0.8366  10 Be 2.17-2.41
Be8 0.3439 0.8366 0.3439  10 Be 2.17-2.41
Be9 0.4361 0.4361 0.4361  7 Be 2.12-2.34
Be10 0.4991 0.9983 0.9983  9 Be 2.25-2.49
Be11 0.6154 0.0600 0.3422  6 Be 2.11-2.28
Be12 0.6154 0.3422 0.0600  6 Be 2.11-2.28
Be13 0.6736 0.1833 0.6736  7 Be 2.19-2.34
Be14 0.6736 0.6736 0.1833  7 Be 2.19-2.34
Be15 0.8366 0.3439 0.3439  10 Be 2.17-2.41
Be16 0.9983 0.4991 0.9983  9 Be 2.25-2.49
Be17 0.9983 0.9983 0.4991  9 Be 2.25-2.49

Calculated values
**E_form**: -13 kJ/mol of atoms
**Energy**: -4.313 eV/atom
**Crystal system**: trigonal



Entry 10:
Material: Ti3Be2
Method: DFT, GGA-PBE
State: optimized geometry

a = 2.9336 Å, b = 2.9336 Å, c = 15.7927 Å
α = 90.00°, β = 90.00°, γ = 90.00°
Last column: nearest neighbours and their distance in Å.
Element x y z (fractional)
Ti1 0.0000 0.0000 0.0000  8 Be 2.54
Ti2 0.0000 0.0000 0.1860  8 Be 2.54
Ti3 0.0000 0.0000 0.3748  4 Be 2.57, 4 Ti 2.87
Ti4 0.0000 0.0000 0.6252  4 Be 2.57, 4 Ti 2.87
Ti5 0.0000 0.0000 0.8140  8 Be 2.54
Ti6 0.5000 0.5000 0.5000  12 Ti 2.87-2.93
Be1 0.5000 0.5000 0.0926  8 Ti 2.54
Be2 0.5000 0.5000 0.2784  8 Ti 2.54-2.57
Be3 0.5000 0.5000 0.7216  8 Ti 2.54-2.57
Be4 0.5000 0.5000 0.9074  8 Ti 2.54

Calculated values
**E_form**: -9 kJ/mol of atoms
**Energy**: -6.325 eV/atom
**Crystal system**: tetragonal



Entry 11:
Material: Ti4Be
Method: DFT, GGA-PBE
State: optimized geometry

a = 4.4267 Å, b = 4.4267 Å, c = 4.4267 Å
α = 90.00°, β = 90.00°, γ = 90.00°
Last column: nearest neighbours and their distance in Å.
Element x y z (fractional)
Ti1 0.0000 0.0000 0.0000  12 Ti 3.13
Ti2 0.0000 0.5000 0.5000  2 Be 2.21
Ti3 0.5000 0.0000 0.5000  2 Be 2.21
Ti4 0.5000 0.5000 0.0000  2 Be 2.21
Be1 0.5000 0.5000 0.5000  6 Ti 2.21

Calculated values
**E_form**: 46 kJ/mol of atoms
**Energy**: -6.589 eV/atom
**Crystal system**: cubic



Entry 12:
Material: Ti3Be
Method: DFT, GGA-PBE
State: optimized geometry

a = 4.8682 Å, b = 4.8682 Å, c = 4.8682 Å
α = 133.44°, β = 133.44°, γ = 67.96°
Last column: nearest neighbours and their distance in Å.
Element x y z (fractional)
Ti1 0.0000 0.0000 0.0000  4 Be 2.72, 8 Ti 2.79
Ti2 0.2500 0.7500 0.5000  8 Ti 2.72-2.79, 4 Be 2.79
Ti3 0.7500 0.2500 0.5000  8 Ti 2.72-2.79, 4 Be 2.79
Be1 0.5000 0.5000 0.0000  12 Ti 2.72-2.79

Calculated values
**E_form**: -1 kJ/mol of atoms
**Energy**: -6.858 eV/atom
**Crystal system**: tetragonal



Please write out number 3 again, unchanged.
Material: Y2ThBe
Method: DFT, GGA-PBE
State: optimized geometry

a = 3.4768 Å, b = 3.4768 Å, c = 8.5885 Å
α = 90.00°, β = 90.00°, γ = 90.00°
Last column: nearest neighbours and their distance in Å.
Element x y z (fractional)
Y1 0.0000 0.0000 0.1957  4 Be 2.98
Y2 0.0000 0.0000 0.8043  4 Be 2.98
Th1 0.5000 0.5000 0.5000  4 Th 3.48, 8 Y 3.59
Be1 0.5000 0.5000 0.0000  8 Y 2.98

Calculated values
**E_form**: 7 kJ/mol of atoms
**Energy**: -5.942 eV/atom
**Crystal system**: tetragonal



- What is the E_form in the ninth record?
  -13 kJ/mol of atoms



- Which value of E_form does entry 12 give?
  -1 kJ/mol of atoms